Ga2HgTe2Se2 | OQMD | PBE-GGA | optimized geometry; E_tot = -3.198 eV/atom
1.0
6.0493 0.0000 0.0000
-0.0101 6.0850 0.0000
-2.9496 -2.8843 5.7686
Ga Hg Te Se
2 1 2 2
direct
0.0000 0.0000 0.0000
0.2300 0.7691 0.4995
0.4988 0.5256 0.9981
0.3859 0.3780 0.2859
0.6342 0.1213 0.7127
0.0901 0.6466 0.7309
0.8921 0.9180 0.2676



Tm2Tc | OQMD | PBE-GGA | optimized geometry; magnetization = 0.0 μB/cell; E_tot = -5.406 eV/atom
1.0
0.0000 4.0827 4.0827
4.0827 0.0000 4.0827
4.0827 4.0827 0.0000
Tm Tc
4 2
direct
0.0000 0.0000 0.0000
0.0000 0.0000 0.5000
0.0000 0.5000 0.0000
0.5000 0.0000 0.0000
0.3750 0.3750 0.3750
0.6250 0.6250 0.6250



Cu2Cl3 | OQMD | PBE-GGA | optimized geometry; E_tot = -3.101 eV/atom
1.0
-1.8703 5.7062 2.6972
1.8703 -5.7062 2.6972
1.8703 5.7062 -2.6972
Cu Cl
2 3
direct
0.1600 0.0000 0.1600
0.8400 0.0000 0.8400
0.2344 0.2344 0.0000
0.5820 0.2575 0.3245
0.9330 0.2575 0.6755



ZrInAgO3 | OQMD | PBE-GGA | optimized geometry; magnetization = 0.0 μB/cell; E_tot = -6.730 eV/atom
1.0
10.2908 0.0000 0.0000
0.0000 3.2655 0.0000
0.0000 0.0000 10.5455
Zr In Ag O
4 4 4 12
direct
0.0305 0.2500 0.1371
0.4695 0.7500 0.6371
0.5305 0.2500 0.3629
0.9695 0.7500 0.8629
0.2157 0.7500 0.3914
0.2843 0.2500 0.8914
0.7157 0.7500 0.1086
0.7843 0.2500 0.6086
0.0886 0.2500 0.5721
0.4114 0.7500 0.0721
0.5886 0.2500 0.9279
0.9114 0.7500 0.4279
0.0814 0.2500 0.7946
0.1061 0.7500 0.0250
0.1791 0.2500 0.2585
0.3209 0.7500 0.7585
0.3939 0.2500 0.5250
0.4186 0.7500 0.2946
0.5814 0.2500 0.7054
0.6061 0.7500 0.4750
0.6791 0.2500 0.2415
0.8209 0.7500 0.7415
0.8939 0.2500 0.9750
0.9186 0.7500 0.2054



NdYCd2Au4 | OQMD | PBE-GGA | optimized geometry; magnetization = 0.0 μB/cell; E_tot = -3.923 eV/atom
1.0
4.9844 0.0000 0.0000
0.0000 4.9844 0.0000
0.0000 0.0000 7.0335
Nd Y Cd Au
1 1 2 4
direct
0.0000 0.0000 0.0000
0.5000 0.5000 0.5000
0.0000 0.0000 0.5000
0.5000 0.5000 0.0000
0.0000 0.5000 0.2589
0.0000 0.5000 0.7411
0.5000 0.0000 0.2589
0.5000 0.0000 0.7411



Lu3FeCo8 | OQMD | PBE-GGA | optimized geometry; magnetization = 11.8 μB/cell; E_tot = -6.795 eV/atom
1.0
2.4658 1.4236 7.9293
-2.4658 1.4236 7.9293
0.0000 -2.8473 7.9293
Lu Fe Co
3 1 8
direct
0.0000 0.0000 0.0000
0.1397 0.1397 0.1397
0.8603 0.8603 0.8603
0.5000 0.5000 0.5000
0.0781 0.5845 0.5845
0.3347 0.3347 0.3347
0.4155 0.4155 0.9219
0.4155 0.9219 0.4155
0.5845 0.0781 0.5845
0.5845 0.5845 0.0781
0.6653 0.6653 0.6653
0.9219 0.4155 0.4155



PrFeSn2Ge | OQMD | PBE-GGA | optimized geometry; magnetization = 3.4 μB/cell; E_tot = -5.490 eV/atom
1.0
2.2389 -11.6332 0.0000
2.2389 11.6332 0.0000
0.0000 0.0000 4.4440
Pr Fe Sn Ge
2 2 4 2
direct
0.1767 0.8233 0.0000
0.8233 0.1767 0.0000
0.3824 0.6176 0.5000
0.6176 0.3824 0.5000
0.0638 0.9362 0.5000
0.4371 0.5629 0.0000
0.5629 0.4371 0.0000
0.9362 0.0638 0.5000
0.2831 0.7169 0.5000
0.7169 0.2831 0.5000



TaAuNO | OQMD | PBE-GGA | optimized geometry; magnetization = 0.0 μB/cell; E_tot = -7.321 eV/atom
1.0
4.0173 0.0000 0.0000
0.0000 4.0173 0.0000
0.0000 0.0000 6.3763
Ta Au N O
2 2 2 2
direct
0.2500 0.7500 0.0000
0.7500 0.2500 0.0000
0.2500 0.2500 0.3312
0.7500 0.7500 0.6688
0.2500 0.2500 0.9106
0.7500 0.7500 0.0894
0.2500 0.7500 0.5000
0.7500 0.2500 0.5000



TaCoPt2 | OQMD | PBE-GGA | optimized geometry; magnetization = 0.2 μB/cell; E_tot = -8.053 eV/atom
1.0
0.0000 3.1085 3.1085
3.1085 0.0000 3.1085
3.1085 3.1085 0.0000
Ta Co Pt
1 1 2
direct
0.0000 0.0000 0.0000
0.2500 0.2500 0.2500
0.5000 0.5000 0.5000
0.7500 0.7500 0.7500



Ho2ErSc3CuTe2 | OQMD | PBE-GGA | optimized geometry; magnetization = 0.1 μB/cell; E_tot = -5.400 eV/atom
1.0
3.9542 0.0000 0.0000
0.0000 6.9050 3.9861
0.0000 -6.9050 3.9861
Ho Er Sc Cu Te
2 1 3 1 2
direct
0.0000 0.1980 0.8020
0.0000 0.8020 0.1980
0.0000 0.4063 0.4063
0.5000 0.0383 0.0383
0.5000 0.5658 0.8020
0.5000 0.8020 0.5658
0.0000 0.8019 0.8019
0.5000 0.1355 0.4687
0.5000 0.4687 0.1355



HfIrW | OQMD | PBE-GGA | optimized geometry; magnetization = 0.0 μB/cell; E_tot = -10.519 eV/atom
1.0
0.0000 3.1066 3.1066
3.1066 0.0000 3.1066
3.1066 3.1066 0.0000
Hf Ir W
1 1 1
direct
0.0000 0.0000 0.0000
0.2500 0.2500 0.2500
0.5000 0.5000 0.5000



La3InCoS7 | OQMD | PBE-GGA | optimized geometry; magnetization = 2.0 μB/cell; E_tot = -5.966 eV/atom
1.0
10.0943 0.0000 0.0000
-5.0472 8.7419 0.0000
0.0000 0.0000 6.3107
La In Co S
6 2 2 14
direct
0.1496 0.3702 0.0000
0.2206 0.8504 0.0000
0.3702 0.2206 0.5000
0.6298 0.7794 0.0000
0.7794 0.1496 0.5000
0.8504 0.6298 0.5000
0.3333 0.6667 0.5704
0.6667 0.3333 0.0704
0.0000 0.0000 0.1683
0.0000 0.0000 0.6683
0.0792 0.5669 0.7369
0.0869 0.2106 0.4149
0.1237 0.9131 0.4149
0.2106 0.1237 0.9149
0.3333 0.6667 0.1884
0.4331 0.5123 0.7369
0.4877 0.9208 0.7369
0.5123 0.0792 0.2369
0.5669 0.4877 0.2369
0.6667 0.3333 0.6884
0.7894 0.8763 0.4149
0.8763 0.0869 0.9149
0.9131 0.7894 0.9149
0.9208 0.4331 0.2369



ScUTc2 | OQMD | PBE-GGA | optimized geometry; magnetization = 0.0 μB/cell; E_tot = -9.826 eV/atom
1.0
3.3358 0.0000 0.0000
0.0000 3.3358 0.0000
0.0000 0.0000 6.5625
Sc U Tc
1 1 2
direct
0.0000 0.0000 0.0000
0.0000 0.0000 0.5000
0.5000 0.5000 0.2754
0.5000 0.5000 0.7246



CsPr2CuTe3S | OQMD | PBE-GGA | optimized geometry; magnetization = 0.0 μB/cell; E_tot = -4.727 eV/atom
1.0
2.2109 -7.8540 0.0000
2.2109 7.8540 0.0000
0.0000 0.0000 15.3459
Cs Pr Cu Te S
2 4 2 6 2
direct
0.0845 0.9155 0.7500
0.9155 0.0845 0.2500
0.3642 0.6358 0.5735
0.3642 0.6358 0.9265
0.6358 0.3642 0.0735
0.6358 0.3642 0.4265
0.1620 0.8380 0.2500
0.8380 0.1620 0.7500
0.0000 0.0000 0.0000
0.0000 0.0000 0.5000
0.2702 0.7298 0.1166
0.2702 0.7298 0.3834
0.7298 0.2702 0.6166
0.7298 0.2702 0.8834
0.4105 0.5895 0.7500
0.5895 0.4105 0.2500



Pt9Pb | OQMD | PBE-GGA | optimized geometry; magnetization = 0.0 μB/cell; E_tot = -5.808 eV/atom
1.0
2.8941 0.0000 0.0000
0.0000 3.8749 0.0000
0.0000 0.0000 41.5409
Pt Pb
18 2
direct
0.2500 0.2500 0.0167
0.2500 0.2500 0.0833
0.2500 0.2500 0.1501
0.2500 0.2500 0.2175
0.2500 0.2500 0.2860
0.2500 0.2500 0.7485
0.2500 0.2500 0.8161
0.2500 0.2500 0.8833
0.2500 0.2500 0.9500
0.7500 0.7500 0.0500
0.7500 0.7500 0.1167
0.7500 0.7500 0.1839
0.7500 0.7500 0.2515
0.7500 0.7500 0.7140
0.7500 0.7500 0.7825
0.7500 0.7500 0.8499
0.7500 0.7500 0.9167
0.7500 0.7500 0.9833
0.2500 0.2500 0.6731
0.7500 0.7500 0.3269



DyTmGa3Si2 | OQMD | PBE-GGA | optimized geometry; magnetization = 0.0 μB/cell; E_tot = -4.679 eV/atom
1.0
5.1047 -2.0195 0.0000
5.1047 2.0195 0.0000
-1.2608 0.0000 6.4580
Dy Tm Ga Si
1 1 3 2
direct
0.0000 0.0000 0.0000
0.2374 0.2374 0.6317
0.3152 0.3152 0.1769
0.6200 0.6200 0.3172
0.9221 0.9221 0.4567
0.5244 0.5244 0.6817
0.7127 0.7127 0.9466



HoGa | OQMD | PBE-GGA | optimized geometry; magnetization = 0.0 μB/cell; E_tot = -4.433 eV/atom
1.0
2.1594 -5.4121 0.0000
2.1594 5.4121 0.0000
0.0000 0.0000 4.0364
Ho Ga
2 2
direct
0.1395 0.8605 0.7500
0.8605 0.1395 0.2500
0.4228 0.5772 0.7500
0.5772 0.4228 0.2500



Tb2DyZn3Cu2Ni | OQMD | PBE-GGA | optimized geometry; magnetization = 0.0 μB/cell; E_tot = -3.767 eV/atom
1.0
3.8802 0.0000 0.0000
0.0000 6.1094 3.5260
0.0000 -6.1094 3.5260
Tb Dy Zn Cu Ni
2 1 3 2 1
direct
0.0000 0.2027 0.7973
0.0000 0.7973 0.2027
0.0000 0.3924 0.3924
0.5000 0.0358 0.0358
0.5000 0.5589 0.7967
0.5000 0.7967 0.5589
0.5000 0.1316 0.4637
0.5000 0.4637 0.1316
0.0000 0.7966 0.7966



FeBr3 | OQMD | PBE-GGA | optimized geometry; magnetization = 3.5 μB/cell; E_tot = -2.863 eV/atom
1.0
-1.9879 1.9879 6.6116
1.9879 -1.9879 6.6116
1.9879 1.9879 -6.6116
Fe Br
1 3
direct
0.0000 0.0000 0.0000
0.2500 0.7500 0.5000
0.5000 0.5000 0.0000
0.7500 0.2500 0.5000



Er3LuTe2C2 | OQMD | PBE-GGA | optimized geometry; magnetization = 0.0 μB/cell; E_tot = -6.255 eV/atom
1.0
3.7811 0.0000 0.0000
-1.8905 3.2745 0.0000
0.0000 0.0000 13.8640
Er Lu Te C
3 1 2 2
direct
0.0000 0.0000 0.0000
0.0000 0.0000 0.3159
0.3333 0.6667 0.5019
0.3333 0.6667 0.8164
0.0000 0.0000 0.6610
0.3333 0.6667 0.1580
0.6667 0.3333 0.4089
0.6667 0.3333 0.9067



Ni2S | OQMD | PBE-GGA | optimized geometry; magnetization = 1.7 μB/cell; E_tot = -4.527 eV/atom
1.0
0.0000 3.3706 3.3706
3.3706 0.0000 3.3706
3.3706 3.3706 0.0000
Ni S
4 2
direct
0.0000 0.0000 0.0000
0.0000 0.0000 0.5000
0.0000 0.5000 0.0000
0.5000 0.0000 0.0000
0.3750 0.3750 0.3750
0.6250 0.6250 0.6250



Zr4TlZnC2 | OQMD | PBE-GGA | optimized geometry; magnetization = 0.3 μB/cell; E_tot = -7.589 eV/atom
1.0
3.3577 0.0000 0.0000
-1.6788 2.9078 0.0000
0.0000 0.0000 14.7683
Zr Tl Zn C
4 1 1 2
direct
0.0000 0.0000 0.1573
0.0000 0.0000 0.8427
0.3333 0.6667 0.3272
0.3333 0.6667 0.6728
0.0000 0.0000 0.5000
0.3333 0.6667 0.0000
0.6667 0.3333 0.2436
0.6667 0.3333 0.7564



Ho2FeCoGe2C | OQMD | PBE-GGA | optimized geometry; magnetization = 0.0 μB/cell; E_tot = -6.772 eV/atom
1.0
5.3181 -1.9555 0.0000
5.3181 1.9555 0.0000
-4.1851 0.0000 5.3687
Ho Fe Co Ge C
2 1 1 2 1
direct
0.0000 0.0000 0.0000
0.1166 0.1166 0.5786
0.7521 0.7521 0.3711
0.3637 0.3637 0.2047
0.3968 0.3968 0.5866
0.7189 0.7189 0.9913
0.5610 0.5610 0.2921